Entry 1:
This record from OQMD via LeMat-Bulk describes a relaxed MgCuB4 crystal. The functional is GGA-PBE.

Properties
- Calculated total energy: -31.4 eV per cell
- Energy above the lowest structure with this stoichiometry: 13.8 meV/atom

Cell lengths 3.0372, 3.0372, 6.7224 Å; angles 90.00, 90.00, 120.00 degrees
Space group P6/mmm (No. 191)
Unique sites:
Mg: 0.0000 0.0000 0.0000
Cu: 0.0000 0.0000 0.5000
B: 0.3333 0.6667 0.2593



Entry 2:
This record from OQMD via LeMat-Bulk describes a relaxed Y2ZnB2 crystal. The functional is GGA-PBE.

Properties
- Calculated total energy: -59.3 eV per cell
- Magnetic moment: 0.06 μB per cell

Cell lengths 3.223, 13.976, 3.705 Å; angles 90.00, 90.00, 90.00 degrees
Space group Cmmm (No. 65)
Unique sites:
Y: 0.000 0.137 0.000
Zn: 0.000 0.500 0.500
B: 0.000 0.272 0.500



Entry 3:
This record from OQMD via LeMat-Bulk describes a relaxed NaGaFeMo crystal. The functional is GGA-PBE.

Properties
- Calculated total energy: -85.7 eV per cell
- Energy above the lowest structure with this stoichiometry: 62.2 meV/atom
- Magnetic moment: 2.93 μB per cell

Cell lengths 6.260, 6.260, 6.260 Å; angles 90.00, 90.00, 90.00 degrees
Space group F-43m (No. 216)
Unique sites:
Na: 0.000 0.000 0.000
Ga: 0.250 0.250 0.250
Fe: 0.250 0.250 0.750
Mo: 0.000 0.000 0.500



Entry 4:
This record from OQMD via LeMat-Bulk describes a relaxed TmTePb2O6 crystal. The functional is GGA-PBE.

Properties
- Calculated total energy: -122.3 eV per cell
- Energy above the lowest structure with this stoichiometry: 13.9 meV/atom
- Magnetic moment: 0.00 μB per cell

Cell lengths 5.824, 5.824, 8.495 Å; angles 90.00, 90.00, 90.00 degrees
Space group I4/m (No. 87)
Unique sites:
Tm: 0.000 0.000 0.000
Te: 0.000 0.000 0.500
Pb: 0.000 0.500 0.250
O: 0.000 0.000 0.257
O: 0.180 0.303 0.500



Question: Among the records above, which one has the lowest calculated total energy?
Answer: TmTePb2O6



Question: What is the calculated total energy in the first record?
Answer: -31.4 eV per cell